VASP calculation (GGA+U) on Be2Ni2GeO6 after structural relaxation.

abc: 4.7490 4.7490 4.8061
angles: 90.00 90.00 120.00
Fractional coordinates of all 11 atoms:
Be 0.3333 0.6667 0.9992
Be 0.6667 0.3333 0.0008
O 0.0003 0.6562 0.7892
O 0.9997 0.3438 0.2108
O 0.6559 0.9997 0.7892
O 0.6562 0.6559 0.2108
O 0.3438 0.3441 0.7892
O 0.3441 0.0003 0.2108
Ge 0.0000 0.0000 0.0000
Ni 0.3333 0.6667 0.4995
Ni 0.6667 0.3333 0.5005

Summary:
VASP energy	-5.88	eV/atom
magnetization	3.9	μB per formula unit
calculated volume	8.5	A^3/atom